Here is an optimized crystal structure of Na2MnSe2 from Alexandria. Energies are from PBE.

a b c (Å): 7.230 7.230 4.305
angles (deg): 90.00 90.00 90.00
Element x y z (fractional)
Na: 0.138 0.362 0.000
Na: 0.362 0.862 0.000
Na: 0.638 0.138 0.000
Na: 0.862 0.638 0.000
Mn: 0.000 0.000 0.500
Mn: 0.500 0.500 0.500
Se: 0.179 0.679 0.500
Se: 0.321 0.179 0.500
Se: 0.679 0.821 0.500
Se: 0.821 0.321 0.500

* SG: P4/mbm
* raw formation energy: -59.00 kJ/mol of atoms
* size of the total moment: 8.7 μB per cell
* crystal system: tetragonal
* E: -4.37 eV per atom



Here is an optimized crystal structure of NaMn2Se3 from Alexandria. Energies are from PBE.

a b c (Å): 7.309 3.762 11.101
angles (deg): 90.00 105.26 90.00
Element x y z (fractional)
Na: 0.035 0.250 0.325
Na: 0.965 0.750 0.675
Mn: 0.323 0.250 0.044
Mn: 0.498 0.750 0.377
Mn: 0.502 0.250 0.623
Mn: 0.677 0.750 0.956
Se: 0.245 0.750 0.177
Se: 0.276 0.750 0.531
Se: 0.305 0.750 0.889
Se: 0.695 0.250 0.111
Se: 0.724 0.250 0.469
Se: 0.755 0.250 0.823

* SG: P2_1/m
* raw formation energy: -54.88 kJ/mol of atoms
* offset from the most stable computed form: 0.000 eV/atom
* size of the total moment: 18.0 μB per cell
* crystal system: monoclinic
* E: -5.59 eV per atom



Here is an optimized crystal structure of Na2Mn3Se6 from Alexandria. Energies are from PBE.

a b c (Å): 6.394 6.394 7.445
angles (deg): 98.29 98.29 120.00
Element x y z (fractional)
Na: 0.166 0.834 0.000
Na: 0.834 0.166 0.000
Mn: 0.000 0.000 0.500
Mn: 0.332 0.668 0.500
Mn: 0.668 0.332 0.500
Se: 0.065 0.400 0.700
Se: 0.266 0.266 0.305
Se: 0.400 0.065 0.700
Se: 0.600 0.935 0.300
Se: 0.734 0.734 0.695
Se: 0.935 0.600 0.300

* SG: C2/m
* raw formation energy: -62.30 kJ/mol of atoms
* size of the total moment: 11.0 μB per cell
* crystal system: monoclinic
* E: -5.29 eV per atom



Here is an optimized crystal structure of NaMn2Se4 from Alexandria. Energies are from PBE.

a b c (Å): 6.513 6.513 12.675
angles (deg): 90.00 90.00 146.80
Element x y z (fractional)
Na: 0.106 0.894 0.750
Na: 0.894 0.106 0.250
Mn: 0.363 0.637 0.568
Mn: 0.363 0.637 0.932
Mn: 0.637 0.363 0.068
Mn: 0.637 0.363 0.432
Se: 0.000 0.000 0.000
Se: 0.000 0.000 0.500
Se: 0.267 0.733 0.107
Se: 0.267 0.733 0.393
Se: 0.431 0.569 0.750
Se: 0.569 0.431 0.250
Se: 0.733 0.267 0.607
Se: 0.733 0.267 0.893

* SG: Cmcm
* raw formation energy: -51.34 kJ/mol of atoms
* offset from the most stable computed form: 0.059 eV/atom
* size of the total moment: 14.0 μB per cell
* crystal system: orthorhombic
* E: -5.33 eV per atom



Here is an optimized crystal structure of NaMn4Se8 from Alexandria. Energies are from PBE.

a b c (Å): 8.524 8.524 8.524
angles (deg): 49.18 49.18 49.18
Element x y z (fractional)
Na: 0.000 0.000 0.000
Mn: 0.000 0.000 0.500
Mn: 0.000 0.500 0.000
Mn: 0.500 0.000 0.000
Mn: 0.500 0.500 0.500
Se: 0.225 0.732 0.732
Se: 0.229 0.229 0.229
Se: 0.268 0.268 0.775
Se: 0.268 0.775 0.268
Se: 0.732 0.225 0.732
Se: 0.732 0.732 0.225
Se: 0.771 0.771 0.771
Se: 0.775 0.268 0.268

* SG: R-3m
* raw formation energy: -53.44 kJ/mol of atoms
* size of the total moment: 11.8 μB per cell
* crystal system: trigonal
* E: -5.62 eV per atom



Here is an optimized crystal structure of Na4MnSe4 from Alexandria. Energies are from PBE.

a b c (Å): 7.566 7.566 7.566
angles (deg): 125.70 125.70 80.38
Element x y z (fractional)
Na: 0.000 0.500 0.500
Na: 0.196 0.196 0.000
Na: 0.500 0.000 0.500
Na: 0.804 0.804 0.000
Mn: 0.500 0.500 0.000
Se: 0.184 0.580 0.000
Se: 0.420 0.420 0.604
Se: 0.580 0.184 0.000
Se: 0.816 0.816 0.396

* SG: I-42m
* raw formation energy: -74.01 kJ/mol of atoms
* size of the total moment: 3.0 μB per cell
* crystal system: tetragonal
* E: -3.92 eV per atom



Here is an optimized crystal structure of Na3MnSe3 from Alexandria. Energies are from PBE.

a b c (Å): 9.698 9.698 11.844
angles (deg): 90.00 90.00 40.12
Element x y z (fractional)
Na: 0.020 0.343 0.871
Na: 0.151 0.849 0.851
Na: 0.157 0.480 0.629
Na: 0.343 0.020 0.129
Na: 0.349 0.651 0.351
Na: 0.480 0.157 0.371
Na: 0.520 0.843 0.629
Na: 0.651 0.349 0.649
Na: 0.657 0.980 0.871
Na: 0.843 0.520 0.371
Na: 0.849 0.151 0.149
Na: 0.980 0.657 0.129
Mn: 0.087 0.087 0.500
Mn: 0.413 0.413 0.000
Mn: 0.587 0.587 0.000
Mn: 0.913 0.913 0.500
Se: 0.059 0.628 0.379
Se: 0.128 0.559 0.879
Se: 0.211 0.789 0.604
Se: 0.289 0.711 0.104
Se: 0.372 0.941 0.379
Se: 0.441 0.872 0.879
Se: 0.559 0.128 0.121
Se: 0.628 0.059 0.621
Se: 0.711 0.289 0.896
Se: 0.789 0.211 0.396
Se: 0.872 0.441 0.121
Se: 0.941 0.372 0.621

* SG: Cmce
* raw formation energy: -81.15 kJ/mol of atoms
* size of the total moment: 16.0 μB per cell
* crystal system: orthorhombic
* E: -4.21 eV per atom



Here is an optimized crystal structure of NaMn5Se7 from Alexandria. Energies are from PBE.

a b c (Å): 6.567 6.567 23.025
angles (deg): 90.00 90.00 146.68
Element x y z (fractional)
Na: 0.214 0.786 0.750
Na: 0.786 0.214 0.250
Mn: 0.000 0.000 0.000
Mn: 0.000 0.000 0.500
Mn: 0.275 0.725 0.072
Mn: 0.275 0.725 0.428
Mn: 0.457 0.543 0.652
Mn: 0.457 0.543 0.848
Mn: 0.543 0.457 0.152
Mn: 0.543 0.457 0.348
Mn: 0.725 0.275 0.572
Mn: 0.725 0.275 0.928
Se: 0.084 0.916 0.603
Se: 0.084 0.916 0.897
Se: 0.176 0.824 0.166
Se: 0.176 0.824 0.334
Se: 0.361 0.639 0.531
Se: 0.361 0.639 0.969
Se: 0.463 0.537 0.250
Se: 0.537 0.463 0.750
Se: 0.639 0.361 0.031
Se: 0.639 0.361 0.469
Se: 0.824 0.176 0.666
Se: 0.824 0.176 0.834
Se: 0.916 0.084 0.103
Se: 0.916 0.084 0.397

* SG: Cmcm
* raw formation energy: -47.24 kJ/mol of atoms
* size of the total moment: 43.4 μB per cell
* crystal system: orthorhombic
* E: -5.99 eV per atom